CuAuS2 | PBE-GGA | optimized geometry

Summary:
- Formation energy from raw total energies: 0.010 eV/atom

Unit cell a=5.485 b=5.485 c=6.590 alpha=65.41 beta=65.41 gamma=90.00
Fractional coordinates of all 8 atoms:
S 0.155 0.625 0.250
S 0.875 0.845 0.750
S 0.375 0.405 0.750
S 0.595 0.125 0.250
Au 0.750 0.250 0.500
Au 0.000 0.000 0.000
Cu 0.250 0.750 0.500
Cu 0.500 0.500 0.000

BaCa4Zn | PBE-GGA | optimized geometry

Summary:
- DFT formation energy: 0.2626 eV/atom

Unit cell a=7.217 b=7.217 c=7.217 alpha=60.00 beta=60.00 gamma=60.00
Fractional coordinates of all 6 atoms:
Zn 0.750 0.750 0.750
Ca 0.874 0.375 0.375
Ca 0.375 0.375 0.874
Ca 0.375 0.375 0.375
Ca 0.375 0.874 0.375
Ba 0.000 0.000 0.000

BaIn3Bi | PBE-GGA | optimized geometry

Summary:
- DFT formation energy: -0.3091 eV/atom

Unit cell a=4.992 b=4.998 c=7.694 alpha=71.04 beta=71.07 gamma=90.00
Fractional coordinates of all 5 atoms:
Ba 0.407 0.210 0.892
In 0.158 0.461 0.390
In 0.658 0.962 0.389
In 0.779 0.583 0.146
Bi 0.006 0.809 0.694

Ba2SnTe3 | PBE-GGA | optimized geometry

Summary:
- Formation energy from raw total energies: -1.249 eV/atom

Unit cell a=7.001 b=9.723 c=8.465 alpha=106.69 beta=114.43 gamma=90.00
Fractional coordinates of all 12 atoms:
Te 0.844 0.422 0.690
Te 0.541 0.750 0.000
Te 0.459 0.250 0.000
Te 0.846 0.922 0.690
Te 0.156 0.578 0.310
Te 0.154 0.078 0.310
Sn 0.970 0.750 0.000
Sn 0.030 0.250 0.000
Ba 0.330 0.416 0.662
Ba 0.332 0.916 0.662
Ba 0.668 0.084 0.338
Ba 0.670 0.584 0.338

Na2CuH3 | PBE-GGA | optimized geometry

Summary:
- E_tot: -69.84 eV/cell

Unit cell a=3.159 b=6.383 c=15.239 alpha=90.00 beta=90.00 gamma=90.00
Fractional coordinates of all 24 atoms:
H 0.250 0.633 0.925
H 0.750 0.367 0.075
H 0.750 0.984 0.896
H 0.250 0.831 0.764
H 0.750 0.169 0.236
H 0.250 0.516 0.396
H 0.250 0.016 0.104
H 0.750 0.484 0.604
H 0.250 0.331 0.736
H 0.750 0.669 0.264
H 0.250 0.133 0.575
H 0.750 0.867 0.425
Cu 0.250 0.858 0.871
Cu 0.750 0.142 0.129
Cu 0.750 0.642 0.371
Cu 0.250 0.358 0.629
Na 0.250 0.758 0.528
Na 0.750 0.067 0.727
Na 0.250 0.933 0.273
Na 0.250 0.433 0.227
Na 0.750 0.567 0.773
Na 0.750 0.742 0.028
Na 0.750 0.242 0.472
Na 0.250 0.258 0.972

RbMg2BiAu | PBE-GGA | optimized geometry

Summary:
- DFT formation energy: 1.2667 eV/atom

Unit cell a=7.037 b=7.037 c=6.932 alpha=90.00 beta=90.00 gamma=90.00
Fractional coordinates of all 5 atoms:
Au 0.500 0.500 0.500
Mg 0.000 0.500 0.000
Mg 0.500 0.000 0.000
Rb 0.000 0.000 0.000
Bi 0.000 0.000 0.500

Tb2PtRh2 | PBE-GGA | optimized geometry

Summary:
- DFT formation energy: -0.8929 eV/atom

Unit cell a=4.530 b=5.382 c=5.382 alpha=61.73 beta=65.11 gamma=65.11
Fractional coordinates of all 5 atoms:
Pt 0.000 0.000 0.000
Tb 0.204 0.296 0.296
Tb 0.796 0.704 0.704
Rh 0.500 0.738 0.262
Rh 0.500 0.262 0.738

LiAcInSn2 | PBE-GGA | optimized geometry

Summary:
- DFT formation energy: -0.4594 eV/atom

Unit cell a=4.588 b=4.588 c=7.421 alpha=108.01 beta=108.01 gamma=90.00
Fractional coordinates of all 5 atoms:
Li 0.250 0.750 0.500
Sn 0.388 0.388 0.777
Sn 0.612 0.612 0.223
In 0.750 0.250 0.500
Ac 0.000 0.000 0.000

Dy3Er6Tm2Pb | PBE-GGA | optimized geometry

Summary:
- DFT formation energy: -0.0427 eV/atom

Unit cell a=6.054 b=6.054 c=11.556 alpha=95.06 beta=95.06 gamma=120.03
Fractional coordinates of all 12 atoms:
Er 0.588 0.919 0.753
Er 0.412 0.081 0.247
Er 0.751 0.751 0.249
Er 0.081 0.412 0.247
Er 0.249 0.249 0.751
Er 0.919 0.588 0.753
Tm 0.666 0.334 0.000
Tm 0.334 0.666 0.000
Dy 0.167 0.833 0.500
Dy 0.500 0.500 0.500
Dy 0.833 0.167 0.500
Pb 0.000 0.000 0.000

LaBi2Pb2 | PBE-GGA | optimized geometry

Summary:
- DFT formation energy: -0.2815 eV/atom

Unit cell a=4.555 b=4.555 c=8.968 alpha=75.29 beta=75.29 gamma=90.00
Fractional coordinates of all 5 atoms:
Pb 0.750 0.250 0.500
Pb 0.250 0.750 0.500
Bi 0.592 0.592 0.815
Bi 0.408 0.408 0.185
La 0.000 0.000 0.000

Y3PPt | PBE-GGA | optimized geometry

Summary:
- DFT formation energy: -0.5049 eV/atom

Unit cell a=5.164 b=5.164 c=5.164 alpha=90.00 beta=90.00 gamma=90.00
Fractional coordinates of all 5 atoms:
Y 0.000 0.500 0.000
Y 0.000 0.000 0.500
Y 0.500 0.000 0.000
P 0.000 0.000 0.000
Pt 0.500 0.500 0.500

Sn5Ge3Au12 | PBE-GGA | optimized geometry

Summary:
- DFT formation energy: 0.0667 eV/atom

Unit cell a=13.644 b=13.644 c=13.644 alpha=109.47 beta=109.47 gamma=109.47
Fractional coordinates of all 80 atoms:
Au 0.868 0.606 0.938
Au 0.429 0.762 0.868
Au 0.438 0.368 0.606
Au 0.368 0.438 0.106
Au 0.606 0.868 0.438
Au 0.238 0.668 0.106
Au 0.606 0.738 0.668
Au 0.262 0.868 0.929
Au 0.368 0.929 0.762
Au 0.738 0.606 0.168
Au 0.168 0.062 0.929
Au 0.894 0.062 0.632
Au 0.929 0.562 0.168
Au 0.929 0.368 0.262
Au 0.262 0.394 0.832
Au 0.132 0.738 0.571
Au 0.832 0.938 0.071
Au 0.632 0.562 0.894
Au 0.938 0.106 0.868
Au 0.168 0.106 0.738
Au 0.332 0.762 0.394
Au 0.071 0.632 0.738
Au 0.738 0.132 0.071
Au 0.438 0.071 0.332
Au 0.762 0.429 0.368
Au 0.394 0.132 0.562
Au 0.832 0.894 0.262
Au 0.562 0.929 0.668
Au 0.668 0.429 0.562
Au 0.938 0.832 0.571
Au 0.894 0.832 0.762
Au 0.429 0.668 0.062
Au 0.106 0.938 0.368
Au 0.106 0.168 0.238
Au 0.571 0.238 0.132
Au 0.394 0.262 0.332
Au 0.332 0.571 0.438
Au 0.571 0.332 0.938
Au 0.071 0.438 0.832
Au 0.062 0.168 0.429
Au 0.062 0.894 0.132
Au 0.868 0.262 0.429
Au 0.562 0.632 0.394
Au 0.762 0.332 0.894
Au 0.238 0.571 0.632
Au 0.668 0.238 0.606
Au 0.132 0.394 0.062
Au 0.632 0.071 0.238
Sn 0.000 0.500 0.000
Sn 0.875 0.250 0.625
Sn 0.125 0.375 0.250
Sn 0.000 0.000 0.500
Sn 0.250 0.875 0.125
Sn 0.500 0.000 0.000
Sn 0.000 0.500 0.500
Sn 0.750 0.625 0.375
Sn 0.375 0.125 0.750
Sn 0.250 0.375 0.625
Sn 0.500 0.500 0.000
Sn 0.625 0.750 0.875
Sn 0.625 0.875 0.250
Sn 0.500 0.500 0.500
Sn 0.875 0.625 0.750
Sn 0.125 0.750 0.375
Sn 0.500 0.000 0.500
Sn 0.750 0.125 0.875
Sn 0.375 0.250 0.125
Sn 0.000 0.000 0.000
Ge 0.250 0.625 0.875
Ge 0.750 0.875 0.625
Ge 0.750 0.375 0.125
Ge 0.125 0.875 0.750
Ge 0.250 0.125 0.375
Ge 0.375 0.625 0.250
Ge 0.625 0.375 0.750
Ge 0.875 0.125 0.250
Ge 0.875 0.750 0.125
Ge 0.375 0.750 0.625
Ge 0.625 0.250 0.375
Ge 0.125 0.250 0.875

CaRhCl | PBE-GGA | optimized geometry

Summary:
- Formation energy from raw total energies: -0.988 eV/atom

Unit cell a=4.135 b=7.923 c=5.892 alpha=94.50 beta=45.38 gamma=89.97
Fractional coordinates of all 6 atoms:
Rh 0.584 0.101 0.072
Rh 0.005 0.266 0.151
Ca 0.982 0.396 0.674
Ca 0.607 0.971 0.549
Cl 0.780 0.801 0.876
Cl 0.810 0.566 0.347

LiBeW2 | PBE-GGA | optimized geometry

Summary:
- DFT formation energy: 0.4878 eV/atom

Unit cell a=3.198 b=3.198 c=5.593 alpha=90.00 beta=90.00 gamma=90.00
Fractional coordinates of all 4 atoms:
Li 0.500 0.500 0.736
Be 0.000 0.000 0.482
W 0.000 0.000 0.022
W 0.500 0.500 0.260

SiMoRu2 | PBE-GGA | optimized geometry

Summary:
- Formation energy from raw total energies: -0.178 eV/atom

Unit cell a=2.831 b=3.893 c=5.179 alpha=90.00 beta=90.00 gamma=90.00
Fractional coordinates of all 4 atoms:
Ru 0.500 0.500 0.296
Ru 0.000 0.000 0.970
Si 0.000 0.000 0.472
Mo 0.500 0.500 0.761

Mg2TlBr | PBE-GGA | optimized geometry

Summary:
- Formation energy from raw total energies: -0.346 eV/atom

Unit cell a=3.768 b=3.768 c=7.969 alpha=90.00 beta=90.00 gamma=90.00
Fractional coordinates of all 4 atoms:
Tl 0.000 0.000 0.420
Mg 0.500 0.500 0.233
Mg 0.000 0.000 0.006
Br 0.500 0.500 0.841

Pm6Bi2Rh | PBE-GGA | optimized geometry

Summary:
- DFT formation energy: -0.6129 eV/atom

Unit cell a=4.151 b=8.687 c=8.685 alpha=120.01 beta=90.00 gamma=90.00
Fractional coordinates of all 9 atoms:
Bi 0.000 0.333 0.667
Bi 0.000 0.667 0.333
Pm 0.500 0.596 0.000
Pm 0.500 0.404 0.404
Pm 0.000 0.239 0.000
Pm 0.000 0.000 0.239
Pm 0.500 0.000 0.596
Pm 0.000 0.761 0.761
Rh 0.500 0.000 0.000

LaZnPb2 | PBE-GGA | optimized geometry

Summary:
- DFT formation energy: -0.1865 eV/atom

Unit cell a=3.901 b=3.901 c=7.434 alpha=90.00 beta=90.00 gamma=90.75
Fractional coordinates of all 4 atoms:
Pb 0.000 0.000 0.023
Pb 0.500 0.500 0.270
Zn 0.000 0.000 0.480
La 0.500 0.500 0.727

Ga2AgSe | PBE-GGA | optimized geometry

Summary:
- Formation energy from raw total energies: 0.022 eV/atom

Unit cell a=3.604 b=3.604 c=8.734 alpha=78.09 beta=78.09 gamma=60.00
Fractional coordinates of all 4 atoms:
Se 0.500 0.500 0.500
Ga 0.901 0.901 0.298
Ga 0.099 0.099 0.702
Ag 0.000 0.000 0.000

K3Pr2ThS6 | PBE-GGA | optimized geometry

Summary:
- Formation energy from raw total energies: -1.790 eV/atom

Unit cell a=4.191 b=8.864 c=9.796 alpha=107.36 beta=102.35 gamma=90.00
Fractional coordinates of all 12 atoms:
S 0.994 0.779 0.987
S 0.654 0.100 0.308
S 0.006 0.221 0.013
S 0.326 0.435 0.652
S 0.674 0.565 0.348
S 0.346 0.900 0.692
K 0.831 0.166 0.662
K 0.500 0.500 0.000
K 0.169 0.834 0.338
Pr 0.832 0.661 0.663
Pr 0.168 0.339 0.337
Th 0.500 0.000 0.000

ZnCdInH2 | PBE-GGA | optimized geometry

Summary:
- E_tot: -9.94 eV/cell

Unit cell a=3.871 b=5.812 c=3.871 alpha=90.00 beta=90.00 gamma=90.00
Fractional coordinates of all 5 atoms:
Zn 0.000 0.500 0.000
Cd 0.500 0.500 0.500
H 0.500 0.000 0.000
H 0.000 0.000 0.500
In 0.000 0.000 0.000

ZnTeAu2 | PBE-GGA | optimized geometry

Summary:
- Formation energy from raw total energies: -0.032 eV/atom

Unit cell a=4.341 b=4.504 c=4.508 alpha=83.67 beta=90.00 gamma=90.00
Fractional coordinates of all 4 atoms:
Te 0.500 0.250 0.250
Au 0.000 0.536 0.536
Au 0.000 0.964 0.964
Zn 0.500 0.750 0.750